Below is a relaxed structure of Cu5Ni2Pt2, with properties calculated at the PBE level.

Cell lengths 3.767, 7.017, 6.342 Å; angles 122.40, 107.30, 89.98 degrees
Last column: magnetic moment on the atom in μB.
Atoms (fractional coordinates):
Cu 0.000 0.000 0.000  0.06
Cu 0.324 0.959 0.648  0.03
Cu 0.191 0.519 0.383  0.03
Cu 0.676 0.041 0.352  0.03
Cu 0.809 0.481 0.617  0.03
Pt 0.927 0.273 0.855  0.14
Pt 0.073 0.727 0.145  0.14
Ni 0.434 0.734 0.867  0.41
Ni 0.566 0.266 0.133  0.41

Properties
energy: -41.75 eV for the cell shown
space-group type: C2/m (12)
formation energy from the elements: 0.264 eV/atom


Below is a relaxed structure of Cu2Ni15Pt2, with properties calculated at the PBE level.

Cell lengths 6.157, 6.157, 6.157 Å; angles 81.79, 81.79, 81.79 degrees
Last column: magnetic moment on the atom in μB.
Atoms (fractional coordinates):
Ni 0.000 0.305 0.695  0.65
Ni 0.000 0.000 0.500  0.58
Ni 0.354 0.842 0.354  0.69
Ni 0.695 0.305 0.000  0.65
Ni 0.158 0.646 0.646  0.69
Ni 0.695 0.000 0.305  0.65
Ni 0.646 0.646 0.158  0.69
Ni 0.646 0.158 0.646  0.69
Ni 0.305 0.000 0.695  0.65
Ni 0.842 0.354 0.354  0.69
Ni 0.305 0.695 0.000  0.65
Ni 0.500 0.000 0.000  0.58
Ni 0.000 0.695 0.305  0.65
Ni 0.354 0.354 0.842  0.69
Ni 0.000 0.500 0.000  0.58
Pt 0.671 0.671 0.671  0.20
Pt 0.329 0.329 0.329  0.20
Cu 0.900 0.900 0.900  0.00
Cu 0.100 0.100 0.100  0.00

Properties
energy: -103.84 eV for the cell shown
space-group type: R-3m (166)
formation energy from the elements: 0.166 eV/atom


Below is a relaxed structure of CuNiPt2, with properties calculated at the PBE level.

Cell lengths 4.686, 4.686, 4.550 Å; angles 78.80, 78.80, 34.12 degrees
Last column: magnetic moment on the atom in μB.
Atoms (fractional coordinates):
Ni 0.249 0.249 0.240  0.74
Pt 0.996 0.996 0.022  0.27
Pt 0.752 0.752 0.731  0.26
Cu 0.504 0.504 0.507  0.04

Properties
energy: -22.30 eV for the cell shown
space-group type: Cm (8)
formation energy from the elements: -0.085 eV/atom